BaTbTm4Se8 GGA-PBE relaxed; space group = R3m (160); energy relative to the elements, uncorrected = -1.75 eV per atom; energy = -76.76 eV/f.u.
1.0
4.2575 2.4581 7.0163
-4.2575 2.4581 7.0163
0.0000 -4.9161 7.0163
Ba Tb Tm Se
1 1 4 8
Direct
0.0000 0.0000 0.0000 Ba
0.6288 0.6288 0.6288 Tb
0.1221 0.6282 0.6282 Tm
0.2520 0.2520 0.2520 Tm
0.6282 0.1221 0.6282 Tm
0.6282 0.6282 0.1221 Tm
0.3814 0.3814 0.8567 Se
0.3814 0.8567 0.3814 Se
0.3840 0.3840 0.3840 Se
0.4290 0.8622 0.8622 Se
0.8567 0.3814 0.3814 Se
0.8581 0.8581 0.8581 Se
0.8622 0.4290 0.8622 Se
0.8622 0.8622 0.4290 Se

SiTcAs2 GGA-PBE relaxed; space group = P4/mmm (123); energy relative to the elements, uncorrected = 0.15 eV per atom; energy = -24.48 eV/f.u.
1.0
3.0582 0.0000 0.0000
0.0000 3.0582 0.0000
0.0000 0.0000 6.9451
Si Tc As
1 1 2
Direct
0.0000 0.0000 0.0000 Si
0.0000 0.0000 0.5000 Tc
0.5000 0.5000 0.2814 As
0.5000 0.5000 0.7186 As

LiDyMgTl GGA-PBE relaxed; space group = F-43m (216); energy of formation from the pure elements = -0.20 eV/atom; energy = -11.27 eV/f.u.
1.0
0.0000 3.5895 3.5895
3.5895 0.0000 3.5895
3.5895 3.5895 0.0000
Li Dy Mg Tl
1 1 1 1
Direct
0.0000 0.0000 0.0000 Li
0.2500 0.2500 0.2500 Dy
0.7500 0.7500 0.7500 Mg
0.5000 0.5000 0.5000 Tl

PrTmSe2O GGA-PBE relaxed; space group = P4/nmm (129); energy relative to the elements, uncorrected = -2.36 eV per atom; energy = -32.98 eV/f.u.
1.0
4.0467 0.0000 0.0000
0.0000 4.0467 0.0000
0.0000 0.0000 14.5059
Pr Tm Se O
2 2 4 2
Direct
0.2500 0.2500 0.0842 Pr
0.7500 0.7500 0.9158 Pr
0.2500 0.2500 0.6207 Tm
0.7500 0.7500 0.3793 Tm
0.2500 0.2500 0.4114 Se
0.2500 0.2500 0.7996 Se
0.7500 0.7500 0.2004 Se
0.7500 0.7500 0.5886 Se
0.2500 0.7500 0.0000 O
0.7500 0.2500 0.0000 O

Hf2SnH GGA-PBE relaxed; space group = R-3m (166); offset from the most stable computed form = 0.00 eV per formula unit; energy = -28.05 eV/f.u.
1.0
1.6051 0.9267 7.6093
-1.6051 0.9267 7.6093
0.0000 -1.8534 7.6093
Hf Sn H
2 1 1
Direct
0.2249 0.2249 0.2249 Hf
0.7751 0.7751 0.7751 Hf
0.0000 0.0000 0.0000 Sn
0.5000 0.5000 0.5000 H

DySc2PaN4 GGA-PBE relaxed; space group = P2/m (10); energy relative to the elements, uncorrected = -1.75 eV per atom; energy = -74.03 eV/f.u.
1.0
5.7781 0.0000 0.0000
0.0000 3.3655 0.0000
-1.9161 0.0000 5.4884
Dy Sc Pa N
1 2 1 4
Direct
0.0000 0.0000 0.0000 Dy
0.5000 0.0000 0.5000 Sc
0.5000 0.5000 0.0000 Sc
0.0000 0.5000 0.5000 Pa
0.2577 0.5000 0.2641 N
0.2634 0.0000 0.7503 N
0.7366 0.0000 0.2497 N
0.7423 0.5000 0.7359 N

Cs2Pt2Pb3 GGA-PBE relaxed; space group = C2/m (12); energy of formation from the pure elements = -0.22 eV/atom; energy = -26.44 eV/f.u.
1.0
7.0251 -2.2851 0.0000
7.0251 2.2851 0.0000
-5.8104 0.0000 7.3026
Cs Pt Pb
2 2 3
Direct
0.1434 0.1434 0.2716 Cs
0.8566 0.8566 0.7284 Cs
0.1102 0.1102 0.7159 Pt
0.8898 0.8898 0.2841 Pt
0.3526 0.3526 0.0509 Pb
0.5000 0.5000 0.5000 Pb
0.6474 0.6474 0.9491 Pb

NaSrPrHg GGA-PBE relaxed; space group = F-43m (216); energy of formation from the pure elements = -0.12 eV/atom; energy = -8.58 eV/f.u.
1.0
0.0000 4.0171 4.0171
4.0171 0.0000 4.0171
4.0171 4.0171 0.0000
Na Sr Pr Hg
1 1 1 1
Direct
0.0000 0.0000 0.0000 Na
0.2500 0.2500 0.2500 Sr
0.7500 0.7500 0.7500 Pr
0.5000 0.5000 0.5000 Hg

RbSr2LiZr GGA-PBE relaxed; space group = P4/mmm (123); energy of formation from the pure elements = 1.18 eV/atom; energy = -8.89 eV/f.u.
1.0
6.5177 0.0000 0.0000
0.0000 6.5177 0.0000
0.0000 0.0000 4.5919
Rb Sr Li Zr
1 2 1 1
Direct
0.0000 0.0000 0.0000 Rb
0.0000 0.5000 0.0000 Sr
0.5000 0.0000 0.0000 Sr
0.0000 0.0000 0.5000 Li
0.5000 0.5000 0.5000 Zr

BaGa3Si GGA-PBE relaxed; space group = Pm-3m (221); energy relative to the elements, uncorrected = 1.34 eV per atom; offset from the most stable computed form = 8.45 eV per formula unit; energy = -9.72 eV/f.u.
1.0
5.8581 0.0000 0.0000
0.0000 5.8581 0.0000
0.0000 0.0000 5.8581
Ba Ga Si
1 3 1
Direct
0.0000 0.0000 0.0000 Ba
0.0000 0.0000 0.5000 Ga
0.0000 0.5000 0.0000 Ga
0.5000 0.0000 0.0000 Ga
0.5000 0.5000 0.5000 Si

CaDy5Zn6 GGA-PBE relaxed; space group = Cmmm (65); energy of formation from the pure elements = -0.32 eV/atom; energy = -36.54 eV/f.u.
1.0
2.5386 -7.6023 0.0000
2.5386 7.6023 0.0000
0.0000 0.0000 7.1461
Ca Dy Zn
1 5 6
Direct
0.0000 0.0000 0.0000 Ca
0.0000 0.0000 0.5000 Dy
0.3342 0.6658 0.5000 Dy
0.3346 0.6654 0.0000 Dy
0.6654 0.3346 0.0000 Dy
0.6658 0.3342 0.5000 Dy
0.1702 0.8298 0.2538 Zn
0.1702 0.8298 0.7462 Zn
0.5000 0.5000 0.2591 Zn
0.5000 0.5000 0.7409 Zn
0.8298 0.1702 0.2538 Zn
0.8298 0.1702 0.7462 Zn

Hg2TeMo GGA-PBE relaxed; space group = Immm (71); energy relative to the elements, uncorrected = 0.46 eV per atom; energy = -12.73 eV/f.u.
1.0
-1.5569 2.2192 7.0249
1.5569 -2.2192 7.0249
1.5569 2.2192 -7.0249
Hg Te Mo
2 1 1
Direct
0.1884 0.1884 0.0000 Hg
0.8116 0.8116 0.0000 Hg
0.5000 0.0000 0.5000 Te
0.0000 0.5000 0.5000 Mo

BeH3Pd6 GGA-PBE relaxed; space group = P2_1/m (11); energy = -46.88 eV/f.u.
1.0
8.8389 0.0000 0.0000
0.0000 2.9331 0.0000
-4.0517 0.0000 8.3763
Be H Pd
2 6 12
Direct
0.1280 0.2500 0.3996 Be
0.8720 0.7500 0.6004 Be
0.1769 0.7500 0.0123 H
0.2598 0.2500 0.8010 H
0.4614 0.2500 0.3271 H
0.5386 0.7500 0.6729 H
0.7402 0.7500 0.1990 H
0.8231 0.2500 0.9877 H
0.0218 0.2500 0.8067 Pd
0.1424 0.7500 0.6031 Pd
0.2290 0.2500 0.1439 Pd
0.3414 0.7500 0.4314 Pd
0.3439 0.7500 0.9386 Pd
0.4479 0.2500 0.7289 Pd
0.5521 0.7500 0.2711 Pd
0.6561 0.2500 0.0614 Pd
0.6586 0.2500 0.5686 Pd
0.7710 0.7500 0.8561 Pd
0.8576 0.2500 0.3969 Pd
0.9782 0.7500 0.1933 Pd

CsCuBrCl2 GGA-PBE relaxed; space group = P4/mmm (123); energy relative to the elements, uncorrected = -1.00 eV per atom; energy = -15.34 eV/f.u.
1.0
5.0430 0.0000 0.0000
0.0000 5.0430 0.0000
0.0000 0.0000 5.1652
Cs Cu Br Cl
1 1 1 2
Direct
0.0000 0.0000 0.0000 Cs
0.5000 0.5000 0.5000 Cu
0.5000 0.5000 0.0000 Br
0.0000 0.5000 0.5000 Cl
0.5000 0.0000 0.5000 Cl

NaCuCl3 GGA-PBE relaxed; space group = Pm-3m (221); energy relative to the elements, uncorrected = -0.12 eV per atom; offset from the most stable computed form = 4.41 eV per formula unit; energy = -11.55 eV/f.u.
1.0
5.0981 0.0000 0.0000
0.0000 5.0981 0.0000
0.0000 0.0000 5.0981
Na Cu Cl
1 1 3
Direct
0.0000 0.0000 0.0000 Na
0.5000 0.5000 0.5000 Cu
0.0000 0.0000 0.5000 Cl
0.0000 0.5000 0.0000 Cl
0.5000 0.0000 0.0000 Cl

SbOs GGA-PBE relaxed; space group = P2_13 (198); energy relative to the elements, uncorrected = 0.55 eV per atom; energy = -14.25 eV/f.u.
1.0
5.2539 0.0000 0.0000
0.0000 5.2539 0.0000
0.0000 0.0000 5.2539
Sb Os
4 4
Direct
0.0769 0.0769 0.0769 Sb
0.4231 0.9231 0.5769 Sb
0.5769 0.4231 0.9231 Sb
0.9231 0.5769 0.4231 Sb
0.0724 0.5724 0.9276 Os
0.4276 0.4276 0.4276 Os
0.5724 0.9276 0.0724 Os
0.9276 0.0724 0.5724 Os

AcPmHoTm GGA-PBE relaxed; space group = P4mm (99); energy of formation from the pure elements = 0.06 eV/atom; offset from the most stable computed form = 0.00 eV per formula unit; energy = -17.66 eV/f.u.
1.0
3.6879 0.0000 0.0000
0.0000 3.6879 0.0000
0.0000 0.0000 10.2560
Ac Pm Ho Tm
1 1 1 1
Direct
0.0000 0.0000 0.0000 Ac
0.5000 0.5000 0.7315 Pm
0.5000 0.5000 0.2626 Ho
0.0000 0.0000 0.4917 Tm

BeTe7 GGA-PBE relaxed; space group = Fm-3m (225); energy relative to the elements, uncorrected = 0.62 eV per atom; energy = -20.73 eV/f.u.
1.0
0.0000 4.7629 4.7629
4.7629 0.0000 4.7629
4.7629 4.7629 0.0000
Be Te
1 7
Direct
0.0000 0.0000 0.0000 Be
0.0000 0.0000 0.5000 Te
0.0000 0.5000 0.0000 Te
0.0000 0.5000 0.5000 Te
0.5000 0.0000 0.0000 Te
0.5000 0.0000 0.5000 Te
0.5000 0.5000 0.0000 Te
0.5000 0.5000 0.5000 Te

PrYSi GGA-PBE relaxed; space group = Cm (8); energy relative to the elements, uncorrected = -0.49 eV per atom; offset from the most stable computed form = 0.00 eV per formula unit; energy = -18.15 eV/f.u.
1.0
5.7012 -2.1217 0.0000
5.7012 2.1217 0.0000
-4.8156 0.0000 6.7567
Pr Y Si
2 2 2
Direct
0.0000 0.0000 0.0000 Pr
0.5822 0.5822 0.7089 Pr
0.2330 0.2330 0.5562 Y
0.8325 0.8325 0.2804 Y
0.2913 0.2913 0.9873 Si
0.5320 0.5320 0.2950 Si

SiNiIrI2 GGA-PBE relaxed; space group = P4/mmm (123); energy relative to the elements, uncorrected = 1.10 eV per atom; offset from the most stable computed form = 0.00 eV per formula unit; energy = -17.65 eV/f.u.
1.0
5.3506 0.0000 0.0000
0.0000 5.3506 0.0000
0.0000 0.0000 4.6151
Si Ni Ir I
1 1 1 2
Direct
0.0000 0.0000 0.0000 Si
0.5000 0.5000 0.0000 Ni
0.5000 0.5000 0.5000 Ir
0.0000 0.5000 0.5000 I
0.5000 0.0000 0.5000 I

YTlP2S GGA-PBE relaxed; space group = P4/mmm (123); energy relative to the elements, uncorrected = 0.08 eV per atom; offset from the most stable computed form = 0.00 eV per formula unit; energy = -23.37 eV/f.u.
1.0
5.3967 0.0000 0.0000
0.0000 5.3967 0.0000
0.0000 0.0000 5.2575
Y Tl P S
1 1 2 1
Direct
0.0000 0.0000 0.0000 Y
0.5000 0.5000 0.5000 Tl
0.0000 0.5000 0.0000 P
0.5000 0.0000 0.0000 P
0.0000 0.0000 0.5000 S

ZrSc2Hg GGA-PBE relaxed; space group = R-3m (166); energy of formation from the pure elements = -0.13 eV/atom; energy = -22.03 eV/f.u.
1.0
1.6466 0.9507 9.9407
-1.6466 0.9507 9.9407
0.0000 -1.9013 9.9407
Zr Sc Hg
1 2 1
Direct
0.0000 0.0000 0.0000 Zr
0.2479 0.2479 0.2479 Sc
0.7521 0.7521 0.7521 Sc
0.5000 0.5000 0.5000 Hg

Tm3Mg2Tl6 GGA-PBE relaxed; space group = I4/mmm (139); energy of formation from the pure elements = -0.02 eV/atom; energy = -31.03 eV/f.u.
1.0
-2.2445 2.2445 15.2532
2.2445 -2.2445 15.2532
2.2445 2.2445 -15.2532
Tm Mg Tl
3 2 6
Direct
0.0000 0.0000 0.0000 Tm
0.1630 0.1630 0.0000 Tm
0.8370 0.8370 0.0000 Tm
0.3608 0.3608 0.0000 Mg
0.6392 0.6392 0.0000 Mg
0.0737 0.5737 0.5000 Tl
0.2668 0.2668 0.0000 Tl
0.4263 0.9263 0.5000 Tl
0.5737 0.0737 0.5000 Tl
0.7332 0.7332 0.0000 Tl
0.9263 0.4263 0.5000 Tl

ThSc4Cd GGA-PBE relaxed; space group = P4/mmm (123); energy of formation from the pure elements = -0.07 eV/atom; energy = -34.07 eV/f.u.
1.0
3.3458 0.0000 0.0000
0.0000 3.3458 0.0000
0.0000 0.0000 13.4886
Th Sc Cd
1 4 1
Direct
0.0000 0.0000 0.0000 Th
0.0000 0.0000 0.3502 Sc
0.0000 0.0000 0.6498 Sc
0.5000 0.5000 0.1808 Sc
0.5000 0.5000 0.8192 Sc
0.5000 0.5000 0.5000 Cd

CaBeCr2 GGA-PBE relaxed; space group = Cmmm (65); energy of formation from the pure elements = 0.75 eV/atom; energy = -21.99 eV/f.u.
1.0
1.8083 -1.8133 0.0000
1.8083 1.8133 0.0000
0.0000 0.0000 8.3621
Ca Be Cr
1 1 2
Direct
0.0000 0.0000 0.0000 Ca
0.0000 0.0000 0.5000 Be
0.5000 0.5000 0.3107 Cr
0.5000 0.5000 0.6893 Cr

Nd2YEr3Bi6 GGA-PBE relaxed; space group = C2/m (12); energy of formation from the pure elements = -0.87 eV/atom; energy = -63.40 eV/f.u.
1.0
9.8226 -2.2552 0.0000
9.8226 2.2552 0.0000
-2.0527 0.0000 8.7774
Nd Y Er Bi
2 1 3 6
Direct
0.1659 0.1659 0.3322 Nd
0.8341 0.8341 0.6678 Nd
0.5000 0.5000 0.0000 Y
0.1679 0.1679 0.8335 Er
0.5000 0.5000 0.5000 Er
0.8321 0.8321 0.1665 Er
0.0032 0.0032 0.7498 Bi
0.3333 0.3333 0.9246 Bi
0.3356 0.3356 0.4110 Bi
0.6644 0.6644 0.5890 Bi
0.6667 0.6667 0.0754 Bi
0.9968 0.9968 0.2502 Bi